## CaNd2MoO6 (PBE+U)

Data for a geometry-optimized CaNd2MoO6 structure.

Results
electronic total energy = -7.664 eV per atom
total magnetization = 4.00 μB/cell
V = 141.4 Å³/f.u.

a b c (Å): 5.6713 5.9577 10.1056
angles (deg): 90.00 124.10 90.00
Atoms (fractional coordinates):
Ca 0.0000 0.0000 0.0000
Ca 0.0000 0.5000 0.5000
Nd 0.2621 0.0591 0.7467
Nd 0.2621 0.4409 0.2467
Nd 0.7379 0.5591 0.7533
Nd 0.7379 0.9409 0.2533
Mo 0.5000 0.0000 0.5000
Mo 0.5000 0.5000 0.0000
O 0.1336 0.0623 0.2625
O 0.1336 0.4377 0.7625
O 0.2650 0.6790 0.0593
O 0.2650 0.8210 0.5593
O 0.3997 0.2112 0.0724
O 0.3997 0.2888 0.5724
O 0.6003 0.7112 0.4276
O 0.6003 0.7888 0.9276
O 0.7350 0.1790 0.4407
O 0.7350 0.3210 0.9407
O 0.8664 0.5623 0.2375
O 0.8664 0.9377 0.7375